Density functional theory data (PBE) for an optimized crystal structure of VHgSe2Br.

a = 4.808 Å, b = 4.808 Å, c = 5.305 Å
α = 90.00°, β = 90.00°, γ = 90.00°
Fractional positions:
Se1 0.000 0.500 0.000
Se2 0.500 0.000 0.000
Hg1 0.500 0.500 0.500
Br1 0.000 0.000 0.500
V1 0.000 0.000 0.000

Computed properties:
The electronic total energy comes out at -3.760 eV/atom. The magnetization comes out at 0.0 μB per cell.